# 1
Crystalline ZrAlCo2 at its relaxed geometry, computed with PBE.

Cell and atoms, written as POSCAR:
```
ZrAlCo2
1.0
-4.1217 0.8999 0.3877
-0.4398 -0.2005 -4.2096
-0.6473 -3.0566 0.2132
Co Al Zr
2 1 1
direct
0.0000 0.0000 0.0000
0.5000 0.5000 0.0000
0.0000 0.5000 0.5000
0.5000 0.0000 0.5000
```

Output
SG	P4/mmm, No. 123
M_tot	0.181	μB per atom
E_tot	-7.04	eV per atom

# 2
Crystalline Zr6AlCo at its relaxed geometry, computed with PBE.

Cell and atoms, written as POSCAR:
```
Zr6AlCo
1.0
5.5041 1.2189 -1.7212
3.9384 6.5541 -1.0501
1.5980 2.3140 4.8420
Zr Al Co
6 1 1
direct
0.1405 0.2561 0.7440
0.8205 0.9352 0.6516
0.4073 0.3485 0.0644
0.1795 0.0648 0.3484
0.8595 0.7439 0.2560
0.5927 0.6515 0.9356
0.5000 0.5000 0.5000
0.0000 0.0000 0.0000
```

Output
SG	C2/m, No. 12
M_tot	0.108	μB per atom
E_tot	-7.87	eV per atom

# 3
Crystalline ZrAlCo2 at its relaxed geometry, computed with PBE.

Cell and atoms, written as POSCAR:
```
ZrAlCo2
1.0
-0.1535 1.7020 2.4093
-2.3864 -1.4897 0.9008
3.9436 -4.3200 3.3030
Co Al Zr
2 1 1
direct
0.0000 0.0000 0.0158
0.5000 0.5000 0.1999
0.5000 0.5000 0.8037
0.0000 0.0000 0.4806
```

Output
SG	P4mm, No. 99
M_tot	0.736	μB per atom
E_tot	-6.83	eV per atom

# 4
Crystalline Zr2Al6Co at its relaxed geometry, computed with PBE.

Cell and atoms, written as POSCAR:
```
Zr2Al6Co
1.0
1.8195 4.6974 -5.8656
-6.4459 -4.2583 -0.3138
-1.5599 2.2634 1.3287
Zr Al Co
2 6 1
direct
0.6667 0.3333 0.5000
0.3333 0.6667 0.5000
0.0000 0.3405 0.0000
0.6595 0.6595 0.0000
0.3405 0.0000 0.0000
0.0000 0.7541 0.5000
0.2459 0.2459 0.5000
0.7541 0.0000 0.5000
0.0000 0.0000 0.0000
```

Output
SG	P-62m, No. 189
M_tot	0.016	μB per atom
E_tot	-5.36	eV per atom

# 5
Crystalline ZrAl3Co at its relaxed geometry, computed with PBE.

Cell and atoms, written as POSCAR:
```
ZrAl3Co
1.0
5.2475 0.0000 0.0000
0.0000 7.7482 -1.1756
0.0000 -0.1060 7.8406
Zr Al Co
4 12 4
direct
0.1196 0.7887 0.3756
0.8804 0.2113 0.6244
0.6196 0.7113 0.6244
0.3804 0.2887 0.3756
0.8327 0.5530 0.8967
0.1673 0.4470 0.1033
0.3327 0.9470 0.1033
0.6673 0.0530 0.8967
0.5947 0.6389 0.2115
0.4053 0.3611 0.7885
0.0947 0.8611 0.7885
0.9053 0.1389 0.2115
0.8617 0.4450 0.3711
0.1383 0.5550 0.6289
0.3617 0.0550 0.6289
0.6383 0.9450 0.3711
0.6421 0.3437 0.0548
0.3579 0.6563 0.9452
0.1421 0.1563 0.9452
0.8579 0.8437 0.0548
```

Output
SG	P2_1/c, No. 14
E above lowest polymorph	123	meV per atom
M_tot	0.000	μB per atom

# 6
Crystalline Zr11Al9Co4 at its relaxed geometry, computed with PBE.

Cell and atoms, written as POSCAR:
```
Zr11Al9Co4
1.0
-3.1662 0.4950 -0.6415
1.3138 -5.4161 -10.6644
-2.9787 -7.6305 8.8143
Zr Al Co
11 9 4
direct
0.0000 0.5888 0.9346
0.0000 0.4112 0.0654
0.0000 0.9346 0.5888
0.0000 0.0654 0.4112
0.0000 0.6227 0.3773
0.0000 0.3773 0.6227
0.0000 0.8413 0.1587
0.0000 0.1587 0.8413
0.0000 0.0000 0.0000
0.0000 0.6856 0.6856
0.0000 0.3144 0.3144
0.5000 0.6314 0.1630
0.5000 0.3686 0.8370
0.5000 0.1630 0.6314
0.5000 0.8370 0.3686
0.5000 0.7817 0.9222
0.5000 0.2183 0.0778
0.5000 0.9222 0.7817
0.5000 0.0778 0.2183
0.5000 0.5000 0.5000
0.5000 0.5536 0.7593
0.5000 0.4464 0.2407
0.5000 0.7593 0.5536
0.5000 0.2407 0.4464
```

Output
SG	Cmmm, No. 65
M_tot	0.000	μB per atom
E_tot	-6.99	eV per atom

# 7
Crystalline Zr2Al3Co at its relaxed geometry, computed with PBE.

Cell and atoms, written as POSCAR:
```
Zr2Al3Co
1.0
-2.1407 -4.0703 -2.3083
2.2476 -1.8725 -4.2332
2.4093 -4.5360 0.3134
Zr Al Co
2 3 1
direct
0.6281 0.6281 0.6281
0.3719 0.3719 0.3719
0.0000 0.5000 0.0000
0.5000 0.0000 0.0000
0.0000 0.0000 0.5000
0.0000 0.0000 0.0000
```

Output
SG	R-3m, No. 166
M_tot	0.001	μB per atom
E_tot	-6.43	eV per atom

# 8
Crystalline Zr2AlCo at its relaxed geometry, computed with PBE.

Cell and atoms, written as POSCAR:
```
Zr2AlCo
1.0
3.1249 0.0000 0.0000
0.0000 3.1200 0.0433
0.0000 3.0183 7.3988
Co Al Zr
1 1 2
direct
0.5000 0.7500 0.7500
0.5000 0.2500 0.2500
0.0000 0.0237 0.9765
0.0000 0.4763 0.5235
```

Output
SG	P4/mmm, No. 123
M_tot	0.377	μB per atom
E_tot	-7.30	eV per atom

Record order is preserved below.
D(E_F): 2.0 8.8 4.2 7.5 8.2 12.4 6.5 3.7 states/eV/cell